(1)
## TbB2PbO6 (GGA-PBE)

Data for TbB2PbO6 after structural relaxation.

abc: 6.526 6.526 6.644
angles: 100.14 100.14 103.43
Fractional positions:
O 0.520 0.941 0.743
O 0.059 0.480 0.757
O 0.294 0.482 0.392
O 0.798 0.951 0.381
O 0.706 0.518 0.608
O 0.480 0.059 0.257
O 0.482 0.294 0.892
O 0.518 0.706 0.108
O 0.049 0.202 0.119
O 0.951 0.798 0.881
O 0.941 0.520 0.243
O 0.202 0.049 0.619
Pb 0.900 0.100 0.750
Pb 0.100 0.900 0.250
Tb 0.582 0.418 0.250
Tb 0.418 0.582 0.750
B 0.405 0.094 0.754
B 0.906 0.595 0.746
B 0.094 0.405 0.254
B 0.595 0.906 0.246

Values from the calculation:
VASP energy = -7.518 eV/atom
Formation energy (no corrections) = -2373 meV/atom


(2)
## Pm3Ho2Th2 (GGA-PBE)

Data for Pm3Ho2Th2 after structural relaxation.

abc: 3.611 11.933 6.189
angles: 110.35 73.02 81.33
Fractional positions:
Pm 0.434 0.424 0.708
Pm 0.000 0.000 0.000
Pm 0.566 0.576 0.292
Ho 0.708 0.718 0.866
Ho 0.292 0.282 0.134
Th 0.856 0.860 0.426
Th 0.144 0.140 0.574

Values from the calculation:
VASP energy = -5.429 eV/atom


no.,D(E_F) (states/eV/cell)
1,2.2
2,9.8